VASP calculation (PBE-GGA) on a relaxed SrAu crystal.

Cell and atoms, written as CIF:
```
data_SrAu
_chemical_formula_sum 'Sr12 Au12'
_space_group_name_H-M_alt 'P b c m'
_space_group_IT_number 57
_space_group_name_Hall '-P 2c 2b'
_cell_length_a 10.6764
_cell_length_b 9.5079
_cell_length_c 7.1493
_cell_angle_alpha 90.00
_cell_angle_beta 90.00
_cell_angle_gamma 90.00
loop_
_atom_site_label
_atom_site_type_symbol
_atom_site_fract_x
_atom_site_fract_y
_atom_site_fract_z
Sr1 Sr 0.1111 0.0229 0.2500
Sr2 Sr 0.2914 0.6347 0.2500
Sr3 Sr 0.3888 0.2500 0.0000
Au1 Au 0.0558 0.7500 0.0000
Au2 Au 0.1532 0.1495 0.7500
Au3 Au 0.4199 0.5469 0.7500
```

Summary:
Crystal system: orthorhombic
DOS(E_F) (states/eV per atom): 0.536
Energy relative to the elements (kJ/mol of atoms): -66.9